1.
This record from Alexandria describes a relaxed La6BiTe5 crystal. The functional is PBE.

Values from the calculation:
- density of states at the Fermi level (states/eV/f.u.) = 8.02
- formation energy without anion corrections (eV per atom) = -1.5138
- calculated total energy (eV/atom) = -5.610

Cell: 7.968 7.968 7.982 Å, 99.57 99.57 120.03°
Fractional coordinates of all 12 atoms:
La (0.081, 0.416, 0.748)
La (0.248, 0.248, 0.251)
La (0.416, 0.081, 0.748)
La (0.584, 0.919, 0.252)
La (0.752, 0.752, 0.749)
La (0.919, 0.584, 0.252)
Bi (0.500, 0.500, 0.000)
Te (0.000, 0.000, 0.500)
Te (0.167, 0.833, 0.000)
Te (0.334, 0.666, 0.500)
Te (0.666, 0.334, 0.500)
Te (0.833, 0.167, 0.000)

2.
This record from Alexandria describes a relaxed CeNp2RhS5 crystal. The functional is PBE.

Values from the calculation:
- density of states at the Fermi level (states/eV/f.u.) = 11.70
- formation energy without anion corrections (eV per atom) = -1.2254
- calculated total energy (eV/atom) = -7.870

Cell: 8.186 8.186 8.186 Å, 127.86 127.86 76.86°
Fractional coordinates of all 18 atoms:
Ce (0.250, 0.250, 0.000)
Ce (0.750, 0.750, 0.000)
Np (0.119, 0.619, 0.738)
Np (0.381, 0.119, 0.500)
Np (0.619, 0.881, 0.500)
Np (0.881, 0.381, 0.262)
Rh (0.250, 0.750, 0.500)
Rh (0.750, 0.250, 0.500)
S (0.000, 0.000, 0.000)
S (0.040, 0.181, 0.500)
S (0.181, 0.681, 0.140)
S (0.319, 0.460, 0.500)
S (0.460, 0.960, 0.140)
S (0.500, 0.500, 0.000)
S (0.540, 0.040, 0.860)
S (0.681, 0.540, 0.500)
S (0.819, 0.319, 0.860)
S (0.960, 0.819, 0.500)

3.
This record from Alexandria describes a relaxed Zn2InBi crystal. The functional is PBE.

Values from the calculation:
- ΔE to the lowest computed polymorph (eV per atom) = 0.061
- density of states at the Fermi level (states/eV/f.u.) = 2.08
- calculated total energy (eV/atom) = -2.086
- ΔE_f (eV per atom) = 0.206

Cell: 7.849 7.849 6.384 Å, 90.00 90.00 90.00°
Fractional coordinates of all 16 atoms:
Zn (0.247, 0.750, 0.125)
Zn (0.250, 0.247, 0.875)
Zn (0.250, 0.253, 0.375)
Zn (0.253, 0.750, 0.625)
Zn (0.747, 0.250, 0.625)
Zn (0.750, 0.747, 0.375)
Zn (0.750, 0.753, 0.875)
Zn (0.753, 0.250, 0.125)
In (0.000, 0.000, 0.000)
In (0.000, 0.500, 0.250)
In (0.500, 0.000, 0.750)
In (0.500, 0.500, 0.500)
Bi (0.000, 0.000, 0.500)
Bi (0.000, 0.500, 0.750)
Bi (0.500, 0.000, 0.250)
Bi (0.500, 0.500, 0.000)

4.
This record from Alexandria describes a relaxed SnHgSe2Br crystal. The functional is PBE.

Values from the calculation:
- ΔE to the lowest computed polymorph (eV per atom) = 0.000
- density of states at the Fermi level (states/eV/f.u.) = 4.59
- formation energy without anion corrections (eV per atom) = 0.0934
- calculated total energy (eV/atom) = -2.496

Cell: 5.348 5.348 5.491 Å, 90.00 90.00 90.00°
Fractional coordinates of all 5 atoms:
Sn (0.000, 0.000, 0.000)
Hg (0.500, 0.500, 0.500)
Se (0.000, 0.500, 0.000)
Se (0.500, 0.000, 0.000)
Br (0.000, 0.000, 0.500)

5.
This record from Alexandria describes a relaxed Pr5SmTl crystal. The functional is PBE.

Values from the calculation:
- density of states at the Fermi level (states/eV/f.u.) = 11.43
- calculated total energy (eV/atom) = -4.179
- ΔE_f (eV per atom) = 0.247

Cell: 5.882 5.882 7.288 Å, 90.00 90.00 90.00°
Fractional coordinates of all 7 atoms:
Pr (0.000, 0.000, 0.000)
Pr (0.000, 0.500, 0.255)
Pr (0.000, 0.500, 0.745)
Pr (0.500, 0.000, 0.255)
Pr (0.500, 0.000, 0.745)
Sm (0.500, 0.500, 0.500)
Tl (0.500, 0.500, 0.000)

6.
This record from Alexandria describes a relaxed KMgTaAl crystal. The functional is PBE.

Values from the calculation:
- ΔE to the lowest computed polymorph (eV per atom) = 0.056
- density of states at the Fermi level (states/eV/f.u.) = 3.16
- calculated total energy (eV/atom) = -4.205
- ΔE_f (eV per atom) = 0.367

Cell: 2.982 4.128 8.174 Å, 90.00 90.00 90.00°
Fractional coordinates of all 4 atoms:
K (0.000, 0.000, 0.000)
Mg (0.500, 0.500, 0.335)
Ta (0.000, 0.000, 0.540)
Al (0.500, 0.500, 0.679)

> density of states at the Fermi level of number 1 (La6BiTe5)?

8.02 states/eV/f.u.